[1]
Density functional theory data (GGA-PBE) for CePrIn after structural relaxation.

```
CePrIn
1.0
1.7708 -8.9006 0.0000
1.7708 8.9006 0.0000
0.0000 0.0000 5.4783
Ce Pr In
2 2 2
Direct
0.2361 0.7639 0.7500 Ce
0.7639 0.2361 0.2500 Ce
0.4355 0.5645 0.2500 Pr
0.5645 0.4355 0.7500 Pr
0.1078 0.8922 0.2500 In
0.8922 0.1078 0.7500 In
```

**Fermi-level density of states**: 1.86 states/eV/atom
**Crystal system**: orthorhombic
**Symmetry**: Cmcm, No. 63
**Energy relative to the elements**: -0.86 eV/f.u.
**Volume**: 172.7 Å³/cell
**DFT total energy**: -4.772 eV/atom
**E above lowest polymorph**: 0 kJ/mol of formula units


[2]
Density functional theory data (GGA-PBE) for Pr2CdNi after structural relaxation.

```
Pr2CdNi
1.0
0.0000 3.7225 3.7225
3.7225 0.0000 3.7225
3.7225 3.7225 0.0000
Pr Cd Ni
2 1 1
Direct
0.2500 0.2500 0.2500 Pr
0.7500 0.7500 0.7500 Pr
0.0000 0.0000 0.0000 Cd
0.5000 0.5000 0.5000 Ni
```

**Fermi-level density of states**: 0.90 states/eV/atom
**Crystal system**: cubic
**Symmetry**: Fm-3m, No. 225
**Energy relative to the elements**: -0.64 eV/f.u.
**Volume**: 103.2 Å³/cell
**DFT total energy**: -4.225 eV/atom
**E above lowest polymorph**: 35 kJ/mol of formula units


[3]
Density functional theory data (GGA-PBE) for Li2TaOs after structural relaxation.

```
Li2TaOs
1.0
3.2708 0.0000 0.0000
0.0000 3.2708 0.0000
0.0000 0.0000 5.1303
Li Ta Os
2 1 1
Direct
0.0000 0.0000 0.2181 Li
0.0000 0.0000 0.7819 Li
0.5000 0.5000 0.5000 Ta
0.5000 0.5000 0.0000 Os
```

**Fermi-level density of states**: 0.80 states/eV/atom
**Crystal system**: tetragonal
**Symmetry**: P4/mmm, No. 123
**Energy relative to the elements**: 2.03 eV/f.u.
**Volume**: 54.9 Å³/cell
**DFT total energy**: -6.220 eV/atom
**E above lowest polymorph**: 146 kJ/mol of formula units


[4]
Density functional theory data (GGA-PBE) for LaInCu after structural relaxation.

```
LaInCu
1.0
-1.7461 2.3463 4.5962
1.7461 -2.3463 4.5962
1.7461 2.3463 -4.5962
La In Cu
1 1 1
Direct
0.0000 0.0000 0.0000 La
0.3380 0.3380 0.0000 In
0.6589 0.6589 0.0000 Cu
```

**Fermi-level density of states**: 0.74 states/eV/atom
**Crystal system**: orthorhombic
**Symmetry**: Imm2, No. 44
**Energy relative to the elements**: -0.16 eV/f.u.
**Volume**: 75.3 Å³/cell
**DFT total energy**: -3.973 eV/atom


[5]
Density functional theory data (GGA-PBE) for Nd6DyHo after structural relaxation.

```
Nd6DyHo
1.0
0.0000 5.1284 7.2936
3.6654 0.0000 7.2936
3.6654 5.1284 0.0000
Nd Dy Ho
6 1 1
Direct
0.1233 0.1233 0.3767 Nd
0.2500 0.2500 0.7500 Nd
0.3767 0.3767 0.1233 Nd
0.6233 0.6233 0.8767 Nd
0.7500 0.7500 0.2500 Nd
0.8767 0.8767 0.6233 Nd
0.0000 0.0000 0.0000 Dy
0.5000 0.5000 0.5000 Ho
```

**Fermi-level density of states**: 1.54 states/eV/atom
**Crystal system**: orthorhombic
**Symmetry**: Fmmm, No. 69
**Energy relative to the elements**: 0.13 eV/f.u.
**Volume**: 274.2 Å³/cell
**DFT total energy**: -4.707 eV/atom


[6]
Density functional theory data (GGA-PBE) for TbNd14Cd after structural relaxation.

```
TbNd14Cd
1.0
7.2503 0.0000 0.0000
0.0000 7.2503 0.0000
0.0000 0.0000 10.3335
Tb Nd Cd
1 14 1
Direct
0.0000 0.0000 0.0000 Tb
0.0000 0.0000 0.5000 Nd
0.0000 0.5000 0.0000 Nd
0.0000 0.5000 0.5000 Nd
0.2514 0.2514 0.2453 Nd
0.2514 0.2514 0.7547 Nd
0.2514 0.7486 0.2453 Nd
0.2514 0.7486 0.7547 Nd
0.5000 0.0000 0.0000 Nd
0.5000 0.0000 0.5000 Nd
0.5000 0.5000 0.5000 Nd
0.7486 0.2514 0.2453 Nd
0.7486 0.2514 0.7547 Nd
0.7486 0.7486 0.2453 Nd
0.7486 0.7486 0.7547 Nd
0.5000 0.5000 0.0000 Cd
```

**Fermi-level density of states**: 1.22 states/eV/atom
**Crystal system**: tetragonal
**Symmetry**: P4/mmm, No. 123
**Energy relative to the elements**: -0.23 eV/f.u.
**Volume**: 543.2 Å³/cell
**DFT total energy**: -4.533 eV/atom


[7]
Density functional theory data (GGA-PBE) for Na2TbCd5 after structural relaxation.

```
Na2TbCd5
1.0
-2.3157 2.3157 9.3322
2.3157 -2.3157 9.3322
2.3157 2.3157 -9.3322
Na Tb Cd
2 1 5
Direct
0.2480 0.2480 0.0000 Na
0.7520 0.7520 0.0000 Na
0.0000 0.0000 0.0000 Tb
0.1220 0.6220 0.5000 Cd
0.3780 0.8780 0.5000 Cd
0.5000 0.5000 0.0000 Cd
0.6220 0.1220 0.5000 Cd
0.8780 0.3780 0.5000 Cd
```

**Fermi-level density of states**: 0.56 states/eV/atom
**Crystal system**: tetragonal
**Symmetry**: I4/mmm, No. 139
**Energy relative to the elements**: -1.15 eV/f.u.
**Volume**: 200.2 Å³/cell
**DFT total energy**: -1.624 eV/atom


[8]
Density functional theory data (GGA-PBE) for Cu3Ge2Au2 after structural relaxation.

```
Cu3Ge2Au2
1.0
6.6202 -1.4751 0.0000
6.6202 1.4751 0.0000
-2.8895 0.0000 5.6780
Cu Ge Au
3 2 2
Direct
0.0000 0.0000 0.0000 Cu
0.2183 0.2183 0.1342 Cu
0.7817 0.7817 0.8658 Cu
0.4231 0.4231 0.2197 Ge
0.5769 0.5769 0.7803 Ge
0.1447 0.1447 0.4702 Au
0.8553 0.8553 0.5298 Au
```

**Fermi-level density of states**: 0.28 states/eV/atom
**Crystal system**: monoclinic
**Symmetry**: C2/m, No. 12
**Energy relative to the elements**: 0.74 eV/f.u.
**Volume**: 110.9 Å³/cell
**DFT total energy**: -3.905 eV/atom


[9]
Density functional theory data (GGA-PBE) for CaTh4Au5 after structural relaxation.

```
CaTh4Au5
1.0
3.6339 0.0000 0.0000
0.0000 3.6339 0.0000
0.0000 0.0000 19.3001
Ca Th Au
1 4 5
Direct
0.0000 0.0000 0.0000 Ca
0.0000 0.0000 0.1980 Th
0.0000 0.0000 0.4005 Th
0.0000 0.0000 0.5995 Th
0.0000 0.0000 0.8020 Th
0.5000 0.5000 0.1003 Au
0.5000 0.5000 0.2990 Au
0.5000 0.5000 0.5000 Au
0.5000 0.5000 0.7010 Au
0.5000 0.5000 0.8997 Au
```

**Fermi-level density of states**: 0.94 states/eV/atom
**Crystal system**: tetragonal
**Symmetry**: P4/mmm, No. 123
**Energy relative to the elements**: -6.03 eV/f.u.
**Volume**: 254.9 Å³/cell
**DFT total energy**: -5.409 eV/atom


[10]
Density functional theory data (GGA-PBE) for CdBRh3 after structural relaxation.

```
CdBRh3
1.0
3.4239 0.0000 0.0000
-1.7120 2.9652 0.0000
0.0000 0.0000 15.8791
Cd B Rh
2 2 6
Direct
0.0000 0.0000 0.0000 Cd
0.0000 0.0000 0.5000 Cd
0.3333 0.6667 0.2500 B
0.6667 0.3333 0.7500 B
0.0000 0.0000 0.2500 Rh
0.0000 0.0000 0.7500 Rh
0.3333 0.6667 0.1234 Rh
0.3333 0.6667 0.3766 Rh
0.6667 0.3333 0.6234 Rh
0.6667 0.3333 0.8766 Rh
```

**Fermi-level density of states**: 1.11 states/eV/atom
**Crystal system**: hexagonal
**Symmetry**: P6_3/mmc, No. 194
**Energy relative to the elements**: 0.94 eV/f.u.
**Volume**: 161.2 Å³/cell
**DFT total energy**: -5.742 eV/atom
**E above lowest polymorph**: 192 kJ/mol of formula units


[11]
Density functional theory data (GGA-PBE) for LaReTe2N after structural relaxation.

```
LaReTe2N
1.0
5.5700 0.0000 0.0000
0.0000 5.5700 0.0000
0.0000 0.0000 3.8294
La Re Te N
1 1 2 1
Direct
0.0000 0.0000 0.0000 La
0.5000 0.5000 0.5000 Re
0.0000 0.5000 0.5000 Te
0.5000 0.0000 0.5000 Te
0.5000 0.5000 0.0000 N
```

**Fermi-level density of states**: 0.90 states/eV/atom
**Crystal system**: tetragonal
**E_form (uncorrected)**: -0.37 eV per atom
**Symmetry**: P4/mmm, No. 123
**Volume**: 118.8 Å³/cell
**DFT total energy**: -6.772 eV/atom
**E above lowest polymorph**: 0 kJ/mol of formula units


[12]
Density functional theory data (GGA-PBE) for PmTl2Au after structural relaxation.

```
PmTl2Au
1.0
1.7772 1.0261 10.8384
-1.7772 1.0261 10.8384
0.0000 -2.0522 10.8384
Pm Tl Au
1 2 1
Direct
0.0000 0.0000 0.0000 Pm
0.0994 0.0994 0.0994 Tl
0.9006 0.9006 0.9006 Tl
0.5000 0.5000 0.5000 Au
```

**Fermi-level density of states**: 0.93 states/eV/atom
**Crystal system**: trigonal
**Symmetry**: R-3m, No. 166
**Energy relative to the elements**: 0.40 eV/f.u.
**Volume**: 118.6 Å³/cell
**DFT total energy**: -3.090 eV/atom
**E above lowest polymorph**: 176 kJ/mol of formula units


Among the records above, which one has the lowest Fermi-level density of states? Cu3Ge2Au2